{"formula": "Ba3OsS", "functional": "PBE-GGA", "state": "relaxed", "lattice": [[-0.316, -3.703, 4.527], [0.716, -4.524, -3.651], [5.805, 0.357, 0.696]], "species": ["S", "Os", "Ba", "Ba", "Ba"], "fractional_positions": [[0.500, 0.500, 0.500], [0.000, 0.000, 0.000], [0.000, 0.500, 0.000], [0.000, 0.000, 0.500], [0.500, 0.000, 0.000]], "relative_energy_mev_per_atom": 0}